<one>
Compound: CeTa3O9
Source: Alexandria
Functional: PBE-GGA
Structure: relaxed

The structure in CIF format:
```
data_CeTa3O9
_cell_length_a 5.452
_cell_length_b 7.628
_cell_length_c 8.332
_cell_angle_alpha 90.00
_cell_angle_beta 92.50
_cell_angle_gamma 90.00
_symmetry_space_group_name_H-M 'P 1 21/m 1'
_symmetry_Int_Tables_number 11
loop_
_symmetry_equiv_pos_as_xyz
'x,y,z'
'-x,-y,-z'
'-x,y+1/2,-z'
'x,-y+1/2,z'
loop_
_atom_site_label
_atom_site_fract_x
_atom_site_fract_y
_atom_site_fract_z
_atom_site_occupancy
Ce1 0.035 0.250 0.435 1
Ta1 0.000 0.000 0.000 1
Ta2 0.474 0.006 0.698 1
O1 0.082 0.250 0.985 1
O2 0.158 0.555 0.789 1
O3 0.264 0.538 0.468 1
O4 0.316 0.546 0.124 1
O5 0.356 0.250 0.660 1
O6 0.441 0.250 0.315 1
```

The calculation puts the density of states at the Fermi level at 0.580 states/eV per atom. The volume comes out at 13.3 A^3/atom. As for the crystal system: monoclinic.

<two>
Compound: CeTa3O9
Source: Alexandria
Functional: PBE-GGA
Structure: relaxed

The structure in CIF format:
```
data_CeTa3O9
_cell_length_a 12.582
_cell_length_b 7.694
_cell_length_c 6.612
_cell_angle_alpha 90.00
_cell_angle_beta 93.97
_cell_angle_gamma 90.00
_symmetry_space_group_name_H-M 'C 1 2/m 1'
_symmetry_Int_Tables_number 12
loop_
_symmetry_equiv_pos_as_xyz
'x,y,z'
'-x,-y,-z'
'-x,y,-z'
'x,-y,z'
'x+1/2,y+1/2,z'
'-x+1/2,-y+1/2,-z'
'-x+1/2,y+1/2,-z'
'x+1/2,-y+1/2,z'
loop_
_atom_site_label
_atom_site_fract_x
_atom_site_fract_y
_atom_site_fract_z
_atom_site_occupancy
Ce1 0.235 0.000 0.051 1
Ta1 0.033 0.249 0.762 1
Ta2 0.250 0.250 0.500 1
O1 0.040 0.000 0.725 1
O2 0.068 0.500 0.798 1
O3 0.091 0.226 0.067 1
O4 0.092 0.282 0.453 1
O5 0.207 0.215 0.780 1
O6 0.232 0.000 0.425 1
```

The calculation puts the density of states at the Fermi level at 0.566 states/eV per atom. The volume comes out at 12.3 A^3/atom. As for the crystal system: monoclinic.

<one> is preferred energetically. Next in line: 20 meV/atom higher.

<one>
Compound: CeTaTiO6
Source: Alexandria
Functional: PBE-GGA
Structure: relaxed

The structure in CIF format:
```
data_CeTaTiO6
_cell_length_a 5.2416
_cell_length_b 5.2416
_cell_length_c 10.1711
_cell_angle_alpha 90.00
_cell_angle_beta 90.00
_cell_angle_gamma 120.00
_symmetry_space_group_name_H-M 'P -3 1 c'
_symmetry_Int_Tables_number 163
_symmetry_space_group_name_Hall '-P 3 2c'
loop_
_atom_site_label
_atom_site_fract_x
_atom_site_fract_y
_atom_site_fract_z
_atom_site_occupancy
Ce1 0.0000 0.0000 0.0000 1
Ta1 0.3333 0.6667 0.2500 1
Ti1 0.3333 0.6667 0.7500 1
O1 0.0018 0.3669 0.6423 1
```

The calculation puts the density of states at the Fermi level at 0.898 states/eV per atom. The volume comes out at 13.4 A^3/atom. As for the crystal system: trigonal.

<two>
Compound: CeTaTiO6
Source: Alexandria
Functional: PBE-GGA
Structure: relaxed

The structure in CIF format:
```
data_CeTaTiO6
_cell_length_a 11.151
_cell_length_b 5.361
_cell_length_c 7.564
_cell_angle_alpha 90.00
_cell_angle_beta 90.00
_cell_angle_gamma 90.00
_symmetry_space_group_name_H-M 'P n a 21'
_symmetry_Int_Tables_number 33
loop_
_symmetry_equiv_pos_as_xyz
'x,y,z'
'-x,-y,z+1/2'
'-x+1/2,y+1/2,z+1/2'
'x+1/2,-y+1/2,z'
loop_
_atom_site_label
_atom_site_fract_x
_atom_site_fract_y
_atom_site_fract_z
_atom_site_occupancy
Ce1 0.043 0.046 0.000 1
Ta1 0.145 0.541 0.257 1
Ti1 0.141 0.536 0.745 1
O1 0.024 0.266 0.712 1
O2 0.028 0.263 0.290 1
O3 0.119 0.661 0.502 1
O4 0.143 0.449 0.001 1
O5 0.209 0.873 0.811 1
O6 0.214 0.875 0.191 1
```

The calculation puts the density of states at the Fermi level at 0.766 states/eV per atom. The volume comes out at 12.6 A^3/atom. As for the crystal system: orthorhombic.

<two> is preferred energetically. Next in line: 24 meV/atom higher.

<one>
Compound: TbCeO2
Source: Alexandria
Functional: PBE-GGA
Structure: relaxed

The structure in CIF format:
```
data_TbCeO2
_cell_length_a 3.4238
_cell_length_b 3.4238
_cell_length_c 18.2772
_cell_angle_alpha 90.00
_cell_angle_beta 90.00
_cell_angle_gamma 120.00
_symmetry_space_group_name_H-M 'R 3 m'
_symmetry_Int_Tables_number 160
_symmetry_space_group_name_Hall 'R 3 -2"'
loop_
_atom_site_label
_atom_site_fract_x
_atom_site_fract_y
_atom_site_fract_z
_atom_site_occupancy
Tb1 0.0000 0.0000 0.0000 1
Ce1 0.0000 0.0000 0.8243 1
O1 0.0000 0.0000 0.4015 1
O2 0.0000 0.0000 0.5908 1
```

The calculation puts the density of states at the Fermi level at 1.198 states/eV per atom. The volume comes out at 15.5 A^3/atom. As for the crystal system: trigonal.

<two>
Compound: TbCeO2
Source: Alexandria
Functional: PBE-GGA
Structure: relaxed

The structure in CIF format:
```
data_TbCeO2
_cell_length_a 3.4468
_cell_length_b 3.4468
_cell_length_c 17.3258
_cell_angle_alpha 90.00
_cell_angle_beta 90.00
_cell_angle_gamma 120.00
_symmetry_space_group_name_H-M 'R -3 m'
_symmetry_Int_Tables_number 166
_symmetry_space_group_name_Hall '-R 3 2"'
loop_
_atom_site_label
_atom_site_fract_x
_atom_site_fract_y
_atom_site_fract_z
_atom_site_occupancy
Tb1 0.0000 0.0000 0.0000 1
Ce1 0.0000 0.0000 0.5000 1
O1 0.0000 0.0000 0.2585 1
```

The calculation puts the density of states at the Fermi level at 0.840 states/eV per atom. The volume comes out at 14.9 A^3/atom. As for the crystal system: trigonal.

<two> is preferred energetically. Next in line: 172 meV/atom higher.

<one>
Compound: Ce3Te3O
Source: Alexandria
Functional: PBE-GGA
Structure: relaxed

The structure in CIF format:
```
data_Ce3Te3O
_cell_length_a 13.826
_cell_length_b 4.240
_cell_length_c 13.844
_cell_angle_alpha 90.00
_cell_angle_beta 90.00
_cell_angle_gamma 90.00
_symmetry_space_group_name_H-M 'P n m a'
_symmetry_Int_Tables_number 62
loop_
_symmetry_equiv_pos_as_xyz
'x,y,z'
'-x,-y,-z'
'-x+1/2,-y,z+1/2'
'x+1/2,y,-z+1/2'
'x+1/2,-y+1/2,-z+1/2'
'-x+1/2,y+1/2,z+1/2'
'-x,y+1/2,-z'
'x,-y+1/2,z'
loop_
_atom_site_label
_atom_site_fract_x
_atom_site_fract_y
_atom_site_fract_z
_atom_site_occupancy
Ce1 0.035 0.250 0.161 1
Ce2 0.062 0.250 0.629 1
Ce3 0.211 0.250 0.859 1
Te1 0.106 0.250 0.394 1
Te2 0.125 0.750 0.005 1
Te3 0.223 0.750 0.684 1
O1 0.045 0.250 0.795 1
```

The calculation puts the density of states at the Fermi level at 2.814 states/eV per atom. The volume comes out at 29.0 A^3/atom. As for the crystal system: orthorhombic.

<two>
Compound: Ce3Te3O
Source: Alexandria
Functional: PBE-GGA
Structure: relaxed

The structure in CIF format:
```
data_Ce3Te3O
_cell_length_a 8.772
_cell_length_b 12.661
_cell_length_c 7.637
_cell_angle_alpha 90.00
_cell_angle_beta 100.68
_cell_angle_gamma 90.00
_symmetry_space_group_name_H-M 'C 1 2/m 1'
_symmetry_Int_Tables_number 12
loop_
_symmetry_equiv_pos_as_xyz
'x,y,z'
'-x,-y,-z'
'-x,y,-z'
'x,-y,z'
'x+1/2,y+1/2,z'
'-x+1/2,-y+1/2,-z'
'-x+1/2,y+1/2,-z'
'x+1/2,-y+1/2,z'
loop_
_atom_site_label
_atom_site_fract_x
_atom_site_fract_y
_atom_site_fract_z
_atom_site_occupancy
Ce1 0.091 0.000 0.333 1
Ce2 0.199 0.352 0.214 1
Te1 0.000 0.162 0.000 1
Te2 0.000 0.239 0.500 1
Te3 0.112 0.500 0.839 1
O1 0.189 0.000 0.646 1
```

The calculation puts the density of states at the Fermi level at 2.565 states/eV per atom. The volume comes out at 29.8 A^3/atom. As for the crystal system: monoclinic.

<one> is preferred energetically. Next in line: 20 meV/atom higher.